1.
This record from the Alexandria database describes CuOs2Cl after structural relaxation. The functional is PBE.

Lattice parameters (Å, degrees): 4.342 4.342 2.935 90.00 90.00 90.00
Fractional positions:
1 Os 0.000 0.000 0.000
2 Os 0.500 0.500 0.000
3 Cu 0.000 0.500 0.500
4 Cl 0.500 0.000 0.500

- offset from the most stable computed form (eV per formula unit) = 3.93
- M_tot (μB per cell) = 0.00
- density (g/cm³) = 14.4
- raw formation energy (eV/atom) = 1.33



2.
This record from the Alexandria database describes Mg2HgP after structural relaxation. The functional is PBE.

Lattice parameters (Å, degrees): 4.835 4.835 4.835 60.00 60.00 60.00
Fractional positions:
1 Hg 0.500 0.500 0.500
2 Mg 0.250 0.250 0.250
3 Mg 0.750 0.750 0.750
4 P 0.000 0.000 0.000

- formation energy (eV/f.u.) = -0.7
- M_tot (μB per cell) = 0.00
- density (g/cm³) = 5.8



3.
This record from the Alexandria database describes Tb3CePm3S8 after structural relaxation. The functional is PBE.

Lattice parameters (Å, degrees): 7.953 7.953 7.967 119.94 90.00 120.00
Fractional positions:
1 Tb 0.500 0.500 0.500
2 Tb 0.500 0.000 0.500
3 Tb 0.000 0.500 0.500
4 S 0.253 0.993 0.746
5 S 0.253 0.506 0.746
6 S 0.747 0.494 0.254
7 S 0.253 0.506 0.259
8 S 0.747 0.007 0.254
9 S 0.741 0.993 0.746
10 S 0.747 0.494 0.741
11 S 0.259 0.007 0.254
12 Pm 0.000 0.000 0.000
13 Pm 0.500 0.500 0.000
14 Pm 0.000 0.500 0.000
15 Ce 0.000 0.000 0.500

- M_tot (μB per cell) = 1.53
- density (g/cm³) = 6.1
- raw formation energy (eV/atom) = -2.03



4.
This record from the Alexandria database describes Mg4IrPt after structural relaxation. The functional is PBE.

Lattice parameters (Å, degrees): 4.421 4.420 7.636 73.28 73.17 59.99
Fractional positions:
1 Pt 0.500 0.500 0.500
2 Mg 0.627 0.627 0.119
3 Mg 0.877 0.876 0.369
4 Mg 0.373 0.373 0.881
5 Mg 0.123 0.124 0.631
6 Ir 0.000 0.000 0.000

- offset from the most stable computed form (eV per formula unit) = 0.00
- formation energy (eV/f.u.) = -2.3
- M_tot (μB per cell) = 0.00
- density (g/cm³) = 6.6



5.
This record from the Alexandria database describes Ti6NiN after structural relaxation. The functional is PBE.

Lattice parameters (Å, degrees): 4.678 5.336 5.194 82.13 91.19 67.20
Fractional positions:
1 Ti 0.399 0.744 0.873
2 Ti 0.601 0.256 0.127
3 Ti 0.937 0.658 0.208
4 Ti 0.063 0.342 0.792
5 Ti 0.236 0.024 0.327
6 Ti 0.764 0.976 0.673
7 N 0.000 0.000 0.000
8 Ni 0.500 0.500 0.500

- M_tot (μB per cell) = 0.00
- density (g/cm³) = 5.1
- raw formation energy (eV/atom) = -0.51



6.
This record from the Alexandria database describes TcTeAs2Br after structural relaxation. The functional is PBE.

Lattice parameters (Å, degrees): 4.842 4.842 5.110 90.00 90.00 90.00
Fractional positions:
1 Br 0.000 0.000 0.500
2 As 0.500 0.000 0.000
3 As 0.000 0.500 0.000
4 Te 0.500 0.500 0.500
5 Tc 0.000 0.000 0.000

- offset from the most stable computed form (eV per formula unit) = 0.00
- M_tot (μB per cell) = 0.00
- density (g/cm³) = 6.3
- raw formation energy (eV/atom) = 0.40



7.
This record from the Alexandria database describes HoInPb2S5 after structural relaxation. The functional is PBE.

Lattice parameters (Å, degrees): 4.001 9.084 12.968 90.00 90.00 102.72
Fractional positions:
1 Pb 0.873 0.745 0.165
2 Pb 0.131 0.262 0.313
3 Pb 0.127 0.255 0.665
4 Pb 0.869 0.738 0.813
5 S 0.953 0.907 0.553
6 S 0.289 0.577 0.667
7 S 0.357 0.715 0.013
8 S 0.711 0.423 0.167
9 S 0.047 0.093 0.053
10 S 0.482 0.963 0.773
11 S 0.685 0.370 0.880
12 S 0.315 0.630 0.380
13 S 0.518 0.037 0.273
14 S 0.643 0.285 0.513
15 Ho 0.794 0.587 0.522
16 Ho 0.206 0.413 0.022
17 In 0.546 0.093 0.937
18 In 0.454 0.907 0.437

- M_tot (μB per cell) = 0.00
- density (g/cm³) = 6.2
- raw formation energy (eV/atom) = -0.96



8.
This record from the Alexandria database describes HoLu2Ni after structural relaxation. The functional is PBE.

Lattice parameters (Å, degrees): 3.624 3.624 9.429 78.92 78.92 60.00
Fractional positions:
1 Lu 0.274 0.274 0.179
2 Lu 0.726 0.726 0.821
3 Ho 0.500 0.500 0.500
4 Ni 0.000 0.000 0.000

- offset from the most stable computed form (eV per formula unit) = 0.46
- formation energy (eV/f.u.) = -0.4
- M_tot (μB per cell) = 0.00
- density (g/cm³) = 9.1



9.
This record from the Alexandria database describes TaTi5Rh2 after structural relaxation. The functional is PBE.

Lattice parameters (Å, degrees): 5.491 5.491 5.491 108.51 108.50 111.42
Fractional positions:
1 Ti 0.775 0.282 0.000
2 Ti 0.282 0.282 0.507
3 Ti 0.775 0.775 0.493
4 Ti 0.282 0.775 0.000
5 Ti 0.253 0.253 0.000
6 Rh 0.779 0.279 0.500
7 Rh 0.279 0.779 0.500
8 Ta 0.798 0.798 0.000

- formation energy (eV/f.u.) = -3.1
- M_tot (μB per cell) = 0.00
- density (g/cm³) = 8.2



10.
This record from the Alexandria database describes Si2TeI after structural relaxation. The functional is PBE.

Lattice parameters (Å, degrees): 7.774 7.774 6.673 54.37 54.37 90.00
Fractional positions:
1 Si 0.602 0.125 0.250
2 Si 0.875 0.852 0.750
3 Si 0.148 0.625 0.250
4 Si 0.375 0.398 0.750
5 I 0.750 0.250 0.500
6 I 0.000 0.000 0.000
7 Te 0.500 0.500 0.000
8 Te 0.250 0.750 0.500

- offset from the most stable computed form (eV per formula unit) = 0.00
- M_tot (μB per cell) = 0.00
- density (g/cm³) = 4.5
- raw formation energy (eV/atom) = 0.59



11.
This record from the Alexandria database describes GaMo4CS8 after structural relaxation. The functional is PBE.

Lattice parameters (Å, degrees): 7.208 7.208 7.208 60.00 60.00 60.00
Fractional positions:
1 S 0.110 0.630 0.630
2 S 0.630 0.110 0.630
3 S 0.630 0.630 0.630
4 S 0.569 0.144 0.144
5 S 0.144 0.144 0.569
6 S 0.144 0.569 0.144
7 S 0.630 0.630 0.110
8 S 0.144 0.144 0.144
9 Ga 0.000 0.000 0.000
10 Mo 0.403 0.403 0.403
11 Mo 0.403 0.791 0.403
12 Mo 0.791 0.403 0.403
13 Mo 0.403 0.403 0.791
14 C 0.250 0.250 0.250

- M_tot (μB per cell) = 0.00
- density (g/cm³) = 4.5
- raw formation energy (eV/atom) = -0.27



12.
This record from the Alexandria database describes Ac2La6Hg after structural relaxation. The functional is PBE.

Lattice parameters (Å, degrees): 3.931 9.988 9.986 120.01 90.00 90.00
Fractional positions:
1 La 0.000 0.000 0.262
2 La 0.500 0.000 0.626
3 La 0.500 0.626 0.000
4 La 0.000 0.263 0.000
5 La 0.500 0.374 0.374
6 La 0.000 0.737 0.738
7 Ac 0.000 0.667 0.334
8 Ac 0.000 0.333 0.666
9 Hg 0.500 0.000 0.000

- formation energy (eV/f.u.) = -0.7
- M_tot (μB per cell) = 0.00
- density (g/cm³) = 7.3